# 1
{
  "formula": "K2ReW",
  "functional": "PBE",
  "state": "optimized geometry",
  "formation_energy_ev_per_atom": 1.55,
  "energy_ev_per_atom": -5.346,
  "spacegroup": "P4/mmm, No. 123",
  "magnetic_moment_mub_per_fu": 0.00,
  "e_above_lowest_polymorph_kcal_per_mol_atoms": 14.92,
  "lattice_angstrom": [[6.035, 0.000, 0.000], [0.000, 3.792, 0.000], [0.000, 0.000, 3.792]],
  "species": ["Re", "W", "K", "K"],
  "fractional_positions": [[0.500, 0.500, 0.000], [0.500, 0.000, 0.500], [0.000, 0.000, 0.000], [0.000, 0.500, 0.500]]
}

---

# 2
{
  "formula": "K4ReW",
  "functional": "PBE",
  "state": "optimized geometry",
  "formation_energy_ev_per_atom": 2.21,
  "energy_ev_per_atom": -2.752,
  "spacegroup": "F-43m, No. 216",
  "magnetic_moment_mub_per_fu": 8.63,
  "lattice_angstrom": [[4.216, -5.231, -1.221], [-2.524, -6.032, -1.969], [0.970, -2.182, -6.397]],
  "species": ["K", "K", "W", "K", "Re", "K"],
  "fractional_positions": [[0.875, 0.375, 0.375], [0.375, 0.875, 0.375], [0.000, 0.000, 0.000], [0.375, 0.375, 0.875], [0.750, 0.750, 0.750], [0.375, 0.375, 0.375]]
}